1.
The following is a GGA-PBE calculation of Al2InAg after structural relaxation, from the Alexandria database.

calculated formation energy	85	meV per atom
SG	No. 8

a b c (Å): 8.876 3.250 5.607
angles (deg): 90.00 102.79 90.00
Atoms (fractional coordinates):
Al  0.000  0.000  0.000
Al  0.245  0.500  0.220
Al  0.500  0.500  0.000
Al  0.745  0.000  0.220
In  0.001  0.500  0.503
In  0.501  0.000  0.503
Ag  0.258  0.000  0.796
Ag  0.758  0.500  0.796


2.
The following is a GGA-PBE calculation of AlN after structural relaxation, from the Alexandria database.

formation energy without anion corrections	-1295	meV per atom
SG	No. 176

a b c (Å): 7.402 7.402 3.207
angles (deg): 90.00 90.00 120.00
Atoms (fractional coordinates):
Al  0.072  0.666  0.250
Al  0.334  0.406  0.250
Al  0.406  0.072  0.750
Al  0.594  0.928  0.250
Al  0.666  0.594  0.750
Al  0.928  0.334  0.750
N  0.084  0.405  0.250
N  0.321  0.916  0.250
N  0.405  0.321  0.750
N  0.595  0.679  0.250
N  0.679  0.084  0.750
N  0.916  0.595  0.750


In order of appearance, N(E_F) = 1.17, 0.00 states/eV/f.u..